(1)
# Li2ScBr

A geometry-optimized Li2ScBr structure (GGA-PBE, the Alexandria database).

Summary:
Final energy: -3.3133 eV per atom
E_form (uncorrected): -0.36 eV/atom
Total moment: 0.8 μB per formula unit
Distance to the lowest polymorph of the same formula: 107 meV/atom

CIF file:
```
data_Li2ScBr
_space_group_name_H-M_alt 'P 1'
_space_group_IT_number 1
_space_group_name_Hall 'P 1'
_cell_length_a 8.375
_cell_length_b 8.375
_cell_length_c 8.375
_cell_angle_alpha 157.16
_cell_angle_beta 155.71
_cell_angle_gamma 33.58
loop_
_atom_site_label
_atom_site_fract_x
_atom_site_fract_y
_atom_site_fract_z
Br1 0.290 0.790 0.500
Li1 0.060 0.060 0.000
Li2 0.713 0.213 0.500
Sc1 0.437 0.437 0.000
```

(2)
# Li2ScBr

A geometry-optimized Li2ScBr structure (GGA-PBE, the Alexandria database).

Summary:
Final energy: -3.3253 eV per atom
E_form (uncorrected): -0.37 eV/atom
Total moment: 0.0 μB per formula unit
Distance to the lowest polymorph of the same formula: 95 meV/atom

CIF file:
```
data_Li2ScBr
_space_group_name_H-M_alt 'P 1'
_space_group_IT_number 1
_space_group_name_Hall 'P 1'
_cell_length_a 3.395
_cell_length_b 3.395
_cell_length_c 8.649
_cell_angle_alpha 90.00
_cell_angle_beta 90.00
_cell_angle_gamma 114.12
loop_
_atom_site_label
_atom_site_fract_x
_atom_site_fract_y
_atom_site_fract_z
Sc1 0.000 0.000 0.511
Li1 0.500 0.500 0.246
Li2 0.000 0.000 0.980
Br1 0.500 0.500 0.763
```

(3)
# Li3ScBr

A geometry-optimized Li3ScBr structure (GGA-PBE, the Alexandria database).

Summary:
Final energy: -2.8099 eV per atom
E_form (uncorrected): -0.06 eV/atom
Total moment: 1.0 μB per formula unit
Distance to the lowest polymorph of the same formula: 0 meV/atom

CIF file:
```
data_Li3ScBr
_space_group_name_H-M_alt 'P 1'
_space_group_IT_number 1
_space_group_name_Hall 'P 1'
_cell_length_a 4.943
_cell_length_b 4.943
_cell_length_c 4.943
_cell_angle_alpha 90.00
_cell_angle_beta 90.00
_cell_angle_gamma 90.00
loop_
_atom_site_label
_atom_site_fract_x
_atom_site_fract_y
_atom_site_fract_z
Li1 0.500 0.000 0.000
Li2 0.000 0.500 0.000
Li3 0.000 0.000 0.500
Sc1 0.500 0.500 0.500
Br1 0.000 0.000 0.000
```

(4)
# Li3ScBr

A geometry-optimized Li3ScBr structure (GGA-PBE, the Alexandria database).

Summary:
Final energy: -2.1008 eV per atom
E_form (uncorrected): 0.65 eV/atom
Total moment: 2.9 μB per formula unit
Distance to the lowest polymorph of the same formula: 709 meV/atom

CIF file:
```
data_Li3ScBr
_space_group_name_H-M_alt 'P 1'
_space_group_IT_number 1
_space_group_name_Hall 'P 1'
_cell_length_a 5.763
_cell_length_b 5.763
_cell_length_c 5.763
_cell_angle_alpha 90.00
_cell_angle_beta 90.00
_cell_angle_gamma 90.00
loop_
_atom_site_label
_atom_site_fract_x
_atom_site_fract_y
_atom_site_fract_z
Li1 0.000 0.500 0.000
Li2 0.000 0.000 0.500
Sc1 0.000 0.000 0.000
Br1 0.500 0.500 0.500
Li3 0.500 0.000 0.000
```

(5)
# LiScBr2

A geometry-optimized LiScBr2 structure (GGA-PBE, the Alexandria database).

Summary:
Final energy: -3.7987 eV per atom
E_form (uncorrected): -0.90 eV/atom
Total moment: 2.0 μB per formula unit
Distance to the lowest polymorph of the same formula: 170 meV/atom

CIF file:
```
data_LiScBr2
_space_group_name_H-M_alt 'P 1'
_space_group_IT_number 1
_space_group_name_Hall 'P 1'
_cell_length_a 6.382
_cell_length_b 6.382
_cell_length_c 7.078
_cell_angle_alpha 63.20
_cell_angle_beta 63.20
_cell_angle_gamma 90.00
loop_
_atom_site_label
_atom_site_fract_x
_atom_site_fract_y
_atom_site_fract_z
Sc1 0.000 0.000 0.000
Li1 0.500 0.500 0.000
Br1 0.161 0.625 0.250
Br2 0.589 0.125 0.250
Br3 0.375 0.411 0.750
Sc2 0.750 0.250 0.500
Br4 0.875 0.839 0.750
Li2 0.250 0.750 0.500
```

(6)
# Li2ScBr

A geometry-optimized Li2ScBr structure (GGA-PBE, the Alexandria database).

Summary:
Final energy: -3.1669 eV per atom
E_form (uncorrected): -0.21 eV/atom
Total moment: 0.0 μB per formula unit
Distance to the lowest polymorph of the same formula: 253 meV/atom

CIF file:
```
data_Li2ScBr
_space_group_name_H-M_alt 'P 1'
_space_group_IT_number 1
_space_group_name_Hall 'P 1'
_cell_length_a 6.370
_cell_length_b 6.370
_cell_length_c 6.370
_cell_angle_alpha 144.31
_cell_angle_beta 144.31
_cell_angle_gamma 51.37
loop_
_atom_site_label
_atom_site_fract_x
_atom_site_fract_y
_atom_site_fract_z
Sc1 0.250 0.750 0.500
Br1 0.750 0.250 0.500
Li1 0.000 0.000 0.000
Li2 0.500 0.500 0.000
```

(7)
# Li2ScBr

A geometry-optimized Li2ScBr structure (GGA-PBE, the Alexandria database).

Summary:
Final energy: -2.7987 eV per atom
E_form (uncorrected): 0.16 eV/atom
Total moment: 0.0 μB per formula unit
Distance to the lowest polymorph of the same formula: 621 meV/atom

CIF file:
```
data_Li2ScBr
_space_group_name_H-M_alt 'P 1'
_space_group_IT_number 1
_space_group_name_Hall 'P 1'
_cell_length_a 5.010
_cell_length_b 5.010
_cell_length_c 5.010
_cell_angle_alpha 60.00
_cell_angle_beta 60.00
_cell_angle_gamma 60.00
loop_
_atom_site_label
_atom_site_fract_x
_atom_site_fract_y
_atom_site_fract_z
Li1 0.250 0.250 0.250
Li2 0.750 0.750 0.750
Br1 0.500 0.500 0.500
Sc1 0.000 0.000 0.000
```

(8)
# LiScBr2

A geometry-optimized LiScBr2 structure (GGA-PBE, the Alexandria database).

Summary:
Final energy: -3.8598 eV per atom
E_form (uncorrected): -0.96 eV/atom
Total moment: 0.0 μB per formula unit
Distance to the lowest polymorph of the same formula: 109 meV/atom

CIF file:
```
data_LiScBr2
_space_group_name_H-M_alt 'P 1'
_space_group_IT_number 1
_space_group_name_Hall 'P 1'
_cell_length_a 5.446
_cell_length_b 3.701
_cell_length_c 5.174
_cell_angle_alpha 69.10
_cell_angle_beta 90.00
_cell_angle_gamma 90.00
loop_
_atom_site_label
_atom_site_fract_x
_atom_site_fract_y
_atom_site_fract_z
Br1 0.000 0.874 0.876
Li1 0.000 0.549 0.526
Br2 0.500 0.179 0.268
Sc1 0.500 0.898 0.830
```

(9)
# LiScBr

A geometry-optimized LiScBr structure (GGA-PBE, the Alexandria database).

Summary:
Final energy: -3.0998 eV per atom
E_form (uncorrected): 0.21 eV/atom
Total moment: 2.1 μB per formula unit
Distance to the lowest polymorph of the same formula: 820 meV/atom

CIF file:
```
data_LiScBr
_space_group_name_H-M_alt 'P 1'
_space_group_IT_number 1
_space_group_name_Hall 'P 1'
_cell_length_a 4.773
_cell_length_b 4.773
_cell_length_c 4.773
_cell_angle_alpha 60.00
_cell_angle_beta 60.00
_cell_angle_gamma 60.00
loop_
_atom_site_label
_atom_site_fract_x
_atom_site_fract_y
_atom_site_fract_z
Br1 0.500 0.500 0.500
Li1 0.750 0.750 0.750
Sc1 0.000 0.000 0.000
```

(10)
# LiScBr2

A geometry-optimized LiScBr2 structure (GGA-PBE, the Alexandria database).

Summary:
Final energy: -3.8806 eV per atom
E_form (uncorrected): -0.98 eV/atom
Total moment: 0.0 μB per formula unit
Distance to the lowest polymorph of the same formula: 88 meV/atom

CIF file:
```
data_LiScBr2
_space_group_name_H-M_alt 'P 1'
_space_group_IT_number 1
_space_group_name_Hall 'P 1'
_cell_length_a 3.725
_cell_length_b 3.725
_cell_length_c 8.237
_cell_angle_alpha 90.00
_cell_angle_beta 90.00
_cell_angle_gamma 123.70
loop_
_atom_site_label
_atom_site_fract_x
_atom_site_fract_y
_atom_site_fract_z
Br1 0.000 0.000 0.476
Sc1 0.500 0.500 0.750
Br2 0.000 0.000 0.024
Li1 0.500 0.500 0.250
```

(11)
# Li2ScBr

A geometry-optimized Li2ScBr structure (GGA-PBE, the Alexandria database).

Summary:
Final energy: -3.2847 eV per atom
E_form (uncorrected): -0.33 eV/atom
Total moment: 0.8 μB per formula unit
Distance to the lowest polymorph of the same formula: 135 meV/atom

CIF file:
```
data_Li2ScBr
_space_group_name_H-M_alt 'P 1'
_space_group_IT_number 1
_space_group_name_Hall 'P 1'
_cell_length_a 3.830
_cell_length_b 3.791
_cell_length_c 6.368
_cell_angle_alpha 65.27
_cell_angle_beta 90.00
_cell_angle_gamma 90.00
loop_
_atom_site_label
_atom_site_fract_x
_atom_site_fract_y
_atom_site_fract_z
Br1 0.500 0.750 0.750
Li1 0.000 0.904 0.995
Li2 0.000 0.596 0.505
Sc1 0.500 0.250 0.250
```

(12)
# LiScBr3

A geometry-optimized LiScBr3 structure (GGA-PBE, the Alexandria database).

Summary:
Final energy: -4.1211 eV per atom
E_form (uncorrected): -1.47 eV/atom
Total moment: 1.0 μB per formula unit

CIF file:
```
data_LiScBr3
_space_group_name_H-M_alt 'P 1'
_space_group_IT_number 1
_space_group_name_Hall 'P 1'
_cell_length_a 6.592
_cell_length_b 6.647
_cell_length_c 7.451
_cell_angle_alpha 66.66
_cell_angle_beta 65.36
_cell_angle_gamma 63.02
loop_
_atom_site_label
_atom_site_fract_x
_atom_site_fract_y
_atom_site_fract_z
Li1 0.641 0.665 0.034
Sc1 0.865 0.862 0.487
Br1 0.431 0.066 0.744
Sc2 0.135 0.138 0.513
Br2 0.250 0.558 0.270
Br3 0.750 0.442 0.730
Li2 0.359 0.335 0.966
Br4 0.936 0.256 0.215
Br5 0.569 0.934 0.256
Br6 0.064 0.744 0.785
```